Entry from Alexandria: a relaxed structure of YTeHPd2 (GGA-PBE).

```
YTeHPd2
1.0
-3.9425 -1.4708 0.1911
1.2993 -3.6867 -1.5695
0.8060 -1.5888 4.3993
Te Pd Y H
1 2 1 1
Cartesian
-0.9186 -3.3732 1.5105
-1.9713 -0.7354 0.0956
0.6497 -1.8433 -0.7848
0.4030 -0.7944 2.1997
0.0000 0.0000 0.0000
```

The calculation puts the total DFT energy (no corrections) at -26.59 eV for the cell shown. Its space group is P4/mmm (123). As for the spin magnetization: 0.00 μB per cell. The value obtained for the volume is 16.843 Å³/atom.

Entry from Alexandria: a relaxed structure of KAl2Tc (GGA-PBE).

```
KAl2Tc
1.0
-0.7065 0.8923 4.8282
0.2706 -4.5656 1.9208
3.3049 2.1827 -2.9867
Al K Tc
2 1 1
Cartesian
-0.2180 -1.8366 3.3745
0.0000 0.0000 0.0000
1.6788 -2.1097 1.1543
1.1902 0.6192 2.6080
```

The calculation puts the total DFT energy (no corrections) at -15.98 eV for the cell shown. Its space group is I4/mmm (139). The calculation puts the energy of formation from the pure elements at 72 kJ per mole of atoms. Its offset from the most stable computed form is 0.659 eV per atom. As for the spin magnetization: 0.81 μB per cell. The value obtained for the volume is 18.854 Å³/atom.